Record 1
A relaxed structure of CsRbNa2Br4. Source: Alexandria via LeMat-Bulk, functional PBE.

Computed properties:
Formation energy from raw total energies = -156.48 kJ/mol of atoms
Space-group type = P2/m (10)
Energy = -3.016 eV per atom
Total magnetization = 0.00 μB/atom
DOS(E_F) = 0.000 states/eV/atom

Lattice parameters (Å, degrees): 8.0356 4.6330 8.2312 90.00 109.07 90.00
Positions (direct):
Cs 0.0000 0.0000 0.0000
Rb 0.5000 0.5000 0.0000
Na 0.0000 0.5000 0.5000
Na 0.5000 0.0000 0.5000
Br 0.2426 0.0000 0.7104
Br 0.2720 0.5000 0.2964
Br 0.7280 0.5000 0.7036
Br 0.7574 0.0000 0.2896

***

Record 2
A relaxed structure of Cs2RbNaBr4. Source: Alexandria via LeMat-Bulk, functional PBE.

Computed properties:
Formation energy from raw total energies = -161.93 kJ/mol of atoms
Space-group type = P2/m (10)
Energy = -3.014 eV per atom
Total magnetization = 0.00 μB/atom
DOS(E_F) = 0.000 states/eV/atom

Lattice parameters (Å, degrees): 8.5107 4.9360 8.5440 90.00 109.04 90.00
Positions (direct):
Cs 0.0000 0.0000 0.0000
Cs 0.5000 0.5000 0.0000
Rb 0.0000 0.5000 0.5000
Na 0.5000 0.0000 0.5000
Br 0.2613 0.0000 0.7198
Br 0.2749 0.5000 0.2833
Br 0.7251 0.5000 0.7167
Br 0.7387 0.0000 0.2802

***

Record 3
A relaxed structure of Cs2RbNaBr6. Source: Alexandria via LeMat-Bulk, functional PBE.

Computed properties:
Formation energy from raw total energies = -110.95 kJ/mol of atoms
Space-group type = Fm-3m (225)
Energy = -2.553 eV per atom
Total magnetization = 0.20 μB/atom
DOS(E_F) = 1.935 states/eV/atom

Lattice parameters (Å, degrees): 8.6402 8.6402 8.6402 60.00 60.00 60.00
Positions (direct):
Cs 0.2500 0.2500 0.2500
Cs 0.7500 0.7500 0.7500
Rb 0.0000 0.0000 0.0000
Na 0.5000 0.5000 0.5000
Br 0.2668 0.2668 0.7332
Br 0.2668 0.7332 0.2668
Br 0.2668 0.7332 0.7332
Br 0.7332 0.2668 0.2668
Br 0.7332 0.2668 0.7332
Br 0.7332 0.7332 0.2668

***

Record 4
A relaxed structure of CsRbNaBr. Source: Alexandria via LeMat-Bulk, functional PBE.

Computed properties:
Formation energy from raw total energies = -64.13 kJ/mol of atoms
Space-group type = F-43m (216)
Energy = -1.868 eV per atom
Total magnetization = 0.00 μB/atom

Lattice parameters (Å, degrees): 6.6787 6.6787 6.6787 60.00 60.00 60.00
Positions (direct):
Cs 0.0000 0.0000 0.0000
Rb 0.5000 0.5000 0.5000
Na 0.2500 0.2500 0.2500
Br 0.7500 0.7500 0.7500